(1)
# CaSmCdAu, optimized geometry, DFT PBE
data_CaSmCdAu
_chemical_formula_sum 'Ca4 Sm4 Cd4 Au4'
_space_group_name_H-M_alt 'F -4 3 m'
_space_group_IT_number 216
_space_group_name_Hall 'F -4 2 3'
_cell_length_a 7.447
_cell_length_b 7.447
_cell_length_c 7.447
_cell_angle_alpha 90.00
_cell_angle_beta 90.00
_cell_angle_gamma 90.00
loop_
_atom_site_label
_atom_site_type_symbol
_atom_site_fract_x
_atom_site_fract_y
_atom_site_fract_z
_atom_site_occupancy
Ca1 Ca 0.000 0.000 0.000 1
Sm1 Sm 0.000 0.000 0.500 1
Cd1 Cd 0.250 0.250 0.250 1
Au1 Au 0.250 0.250 0.750 1
# relative energy among the computed polymorphs	20	meV/atom

=====

(2)
Material: Ca2CdSn3Au4
Method: DFT, PBE
State: optimized geometry

```
data_Ca2CdSn3Au4
_chemical_formula_sum 'Ca2 Cd1 Sn3 Au4'
_space_group_name_H-M_alt 'P -4 m 2'
_space_group_IT_number 115
_cell_length_a 4.620
_cell_length_b 4.620
_cell_length_c 11.595
_cell_angle_alpha 90.00
_cell_angle_beta 90.00
_cell_angle_gamma 90.00
loop_
_space_group_symop_operation_xyz
'x,y,z'
'y,-x,-z'
'-x,-y,z'
'-y,x,-z'
'-x,y,z'
'-y,-x,-z'
'x,-y,z'
'y,x,-z'
loop_
_atom_site_label
_atom_site_type_symbol
_atom_site_fract_x
_atom_site_fract_y
_atom_site_fract_z
_atom_site_occupancy
Ca1 Ca 0.000 0.500 0.237 1
Cd1 Cd 0.000 0.000 0.500 1
Sn1 Sn 0.000 0.500 0.867 1
Sn2 Sn 0.500 0.500 0.500 1
Au1 Au 0.000 0.000 0.000 1
Au2 Au 0.000 0.500 0.639 1
Au3 Au 0.500 0.500 0.000 1
```

=====

no.,energy of formation (eV per formula unit),total energy (eV/atom),total moment (μB/cell)
1,-2.195,-3.277,0.00
2,-4.701,-3.474,0.00